{
  "formula": "Pa2Be4ZnPt3",
  "functional": "PBE",
  "state": "optimized geometry",
  "cell": [[3.983, 0.000, 0.000], [0.000, 3.983, 0.000], [0.000, 0.000, 9.651]],
  "species": ["Pa", "Pa", "Be", "Be", "Be", "Be", "Zn", "Pt", "Pt", "Pt"],
  "frac_coords": [[0.000, 0.500, 0.246], [0.500, 0.000, 0.754], [0.000, 0.000, 0.000], [0.000, 0.500, 0.631], [0.500, 0.000, 0.369], [0.500, 0.500, 0.000], [0.000, 0.000, 0.500], [0.000, 0.500, 0.871], [0.500, 0.000, 0.129], [0.500, 0.500, 0.500]],
  "ef_mev_per_atom": -596,
  "total_energy_ev_per_cell": -59.3,
  "magmom_total_mub_per_fu": 0.0
}

***

{
  "formula": "Pa2BeZnPt6",
  "functional": "PBE",
  "state": "optimized geometry",
  "cell": [[0.000, 4.524, 4.524], [4.524, 0.000, 4.524], [4.524, 4.524, 0.000]],
  "species": ["Pa", "Pa", "Be", "Zn", "Pt", "Pt", "Pt", "Pt", "Pt", "Pt"],
  "frac_coords": [[0.250, 0.250, 0.250], [0.750, 0.750, 0.750], [0.000, 0.000, 0.000], [0.500, 0.500, 0.500], [0.235, 0.235, 0.765], [0.235, 0.765, 0.235], [0.235, 0.765, 0.765], [0.765, 0.235, 0.235], [0.765, 0.235, 0.765], [0.765, 0.765, 0.235]],
  "ef_mev_per_atom": -428,
  "total_energy_ev_per_cell": -64.5,
  "magmom_total_mub_per_fu": 1.2
}

***

{
  "formula": "PuPaBe4",
  "functional": "PBE",
  "state": "optimized geometry",
  "cell": [[0.000, 3.462, 3.462], [3.462, 0.000, 3.462], [3.462, 3.462, 0.000]],
  "species": ["Pu", "Pa", "Be", "Be", "Be", "Be"],
  "frac_coords": [[0.000, 0.000, 0.000], [0.250, 0.250, 0.250], [0.115, 0.628, 0.628], [0.628, 0.115, 0.628], [0.628, 0.628, 0.115], [0.628, 0.628, 0.628]],
  "ef_mev_per_atom": 44,
  "total_energy_ev_per_cell": -38.5,
  "magmom_total_mub_per_fu": 6.2
}

***

{
  "formula": "PuPa2Be",
  "functional": "PBE",
  "state": "optimized geometry",
  "cell": [[5.055, 0.000, 0.000], [0.000, 5.055, 0.000], [0.000, 0.000, 3.195]],
  "species": ["Pu", "Pa", "Pa", "Be"],
  "frac_coords": [[0.000, 0.000, 0.000], [0.000, 0.500, 0.500], [0.500, 0.000, 0.500], [0.500, 0.500, 0.000]],
  "ef_mev_per_atom": 146,
  "total_energy_ev_per_cell": -36.5,
  "magmom_total_mub_per_fu": 3.5
}